# 1
## LaAl2Pd2 (GGA-PBE)

Data for crystalline LaAl2Pd2 at its relaxed geometry.

a = 6.114 Å, b = 6.114 Å, c = 6.114 Å
α = 138.15°, β = 138.15°, γ = 60.68°
Atoms (fractional coordinates):
1 La 0.000 0.000 0.000
2 Al 0.370 0.370 0.000
3 Al 0.630 0.630 0.000
4 Pd 0.250 0.750 0.500
5 Pd 0.750 0.250 0.500

Results
calculated volume = 20.13 A^3/atom
energy = -26.9 eV/cell
magnetic moment = 0.00 μB/f.u.
relative energy among the computed polymorphs = 5.40 kJ/mol of atoms

---

# 2
## LaAl6Pd3 (GGA-PBE)

Data for crystalline LaAl6Pd3 at its relaxed geometry.

a = 6.990 Å, b = 6.756 Å, c = 8.559 Å
α = 90.00°, β = 118.20°, γ = 90.00°
Atoms (fractional coordinates):
1 La 0.000 0.000 0.000
2 La 0.000 0.500 0.500
3 Al 0.143 0.020 0.677
4 Al 0.143 0.480 0.177
5 Al 0.284 0.681 0.884
6 Al 0.284 0.819 0.384
7 Al 0.465 0.200 0.262
8 Al 0.465 0.300 0.762
9 Al 0.535 0.700 0.238
10 Al 0.535 0.800 0.738
11 Al 0.716 0.181 0.616
12 Al 0.716 0.319 0.116
13 Al 0.857 0.520 0.823
14 Al 0.857 0.980 0.323
15 Pd 0.222 0.169 0.420
16 Pd 0.222 0.331 0.920
17 Pd 0.500 0.000 0.000
18 Pd 0.500 0.500 0.500
19 Pd 0.778 0.669 0.080
20 Pd 0.778 0.831 0.580

Results
calculated volume = 17.81 A^3/atom
energy = -98.5 eV/cell
magnetic moment = 0.00 μB/f.u.

---

# 3
## La2Al3Pd2 (GGA-PBE)

Data for crystalline La2Al3Pd2 at its relaxed geometry.

a = 5.920 Å, b = 5.920 Å, c = 7.310 Å
α = 116.87°, β = 116.87°, γ = 42.59°
Atoms (fractional coordinates):
1 La 0.139 0.139 0.273
2 La 0.861 0.861 0.727
3 Al 0.357 0.357 0.068
4 Al 0.500 0.500 0.500
5 Al 0.643 0.643 0.932
6 Pd 0.135 0.135 0.715
7 Pd 0.865 0.865 0.285

Results
calculated volume = 21.66 A^3/atom
energy = -36.7 eV/cell
magnetic moment = 0.00 μB/f.u.

---

# 4
## LaAl2Pd2 (GGA-PBE)

Data for crystalline LaAl2Pd2 at its relaxed geometry.

a = 6.346 Å, b = 6.346 Å, c = 6.346 Å
α = 140.97°, β = 140.97°, γ = 56.38°
Atoms (fractional coordinates):
1 La 0.000 0.000 0.000
2 Al 0.250 0.750 0.500
3 Al 0.750 0.250 0.500
4 Pd 0.376 0.376 0.000
5 Pd 0.624 0.624 0.000

Results
calculated volume = 20.11 A^3/atom
energy = -27.0 eV/cell
magnetic moment = 0.00 μB/f.u.
relative energy among the computed polymorphs = 2.17 kJ/mol of atoms

---

# 5
## LaAl2Pd2 (GGA-PBE)

Data for crystalline LaAl2Pd2 at its relaxed geometry.

a = 7.942 Å, b = 7.942 Å, c = 2.905 Å
α = 90.00°, β = 90.00°, γ = 90.00°
Atoms (fractional coordinates):
1 La 0.000 0.000 0.000
2 La 0.500 0.500 0.000
3 Al 0.120 0.380 0.000
4 Al 0.380 0.880 0.000
5 Al 0.620 0.120 0.000
6 Al 0.880 0.620 0.000
7 Pd 0.171 0.671 0.500
8 Pd 0.329 0.171 0.500
9 Pd 0.671 0.829 0.500
10 Pd 0.829 0.329 0.500

Results
calculated volume = 18.32 A^3/atom
energy = -51.8 eV/cell
magnetic moment = 0.00 μB/f.u.
relative energy among the computed polymorphs = 23.70 kJ/mol of atoms

---

# 6
## La2Al3Pd4 (GGA-PBE)

Data for crystalline La2Al3Pd4 at its relaxed geometry.

a = 8.532 Å, b = 8.532 Å, c = 7.563 Å
α = 90.00°, β = 90.00°, γ = 140.27°
Atoms (fractional coordinates):
1 La 0.108 0.892 0.916
2 La 0.392 0.608 0.416
3 La 0.608 0.392 0.584
4 La 0.892 0.108 0.084
5 Al 0.000 0.000 0.500
6 Al 0.020 0.480 0.750
7 Al 0.480 0.020 0.250
8 Al 0.500 0.500 0.000
9 Al 0.520 0.980 0.750
10 Al 0.980 0.520 0.250
11 Pd 0.183 0.317 0.750
12 Pd 0.183 0.817 0.518
13 Pd 0.317 0.183 0.250
14 Pd 0.317 0.683 0.018
15 Pd 0.683 0.317 0.982
16 Pd 0.683 0.817 0.750
17 Pd 0.817 0.183 0.482
18 Pd 0.817 0.683 0.250

Results
calculated volume = 19.55 A^3/atom
energy = -99.1 eV/cell
magnetic moment = 0.00 μB/f.u.

---

# 7
## La2Al5Pd4 (GGA-PBE)

Data for crystalline La2Al5Pd4 at its relaxed geometry.

a = 9.410 Å, b = 8.546 Å, c = 5.568 Å
α = 80.63°, β = 63.65°, γ = 35.72°
Atoms (fractional coordinates):
1 La 0.129 0.129 0.871
2 La 0.871 0.871 0.129
3 Al 0.000 0.000 0.500
4 Al 0.250 0.250 0.250
5 Al 0.500 0.500 0.000
6 Al 0.500 0.500 0.500
7 Al 0.750 0.750 0.750
8 Pd 0.210 0.528 0.472
9 Pd 0.472 0.790 0.210
10 Pd 0.528 0.210 0.790
11 Pd 0.790 0.472 0.528

Results
calculated volume = 19.72 A^3/atom
energy = -58.4 eV/cell
magnetic moment = 0.00 μB/f.u.

---

# 8
## La2Al2Pd (GGA-PBE)

Data for crystalline La2Al2Pd at its relaxed geometry.

a = 6.896 Å, b = 6.896 Å, c = 5.029 Å
α = 90.00°, β = 90.00°, γ = 90.00°
Atoms (fractional coordinates):
1 La 0.161 0.339 0.000
2 La 0.339 0.839 0.000
3 La 0.661 0.161 0.000
4 La 0.839 0.661 0.000
5 Al 0.145 0.645 0.500
6 Al 0.355 0.145 0.500
7 Al 0.645 0.855 0.500
8 Al 0.855 0.355 0.500
9 Pd 0.000 0.000 0.500
10 Pd 0.500 0.500 0.500

Results
calculated volume = 23.91 A^3/atom
energy = -50.3 eV/cell
magnetic moment = 0.00 μB/f.u.
relative energy among the computed polymorphs = 7.05 kJ/mol of atoms

---

# 9
## LaAlPd2 (GGA-PBE)

Data for crystalline LaAlPd2 at its relaxed geometry.

a = 7.278 Å, b = 4.317 Å, c = 10.666 Å
α = 90.00°, β = 90.00°, γ = 90.00°
Atoms (fractional coordinates):
1 La 0.168 0.250 0.148
2 La 0.332 0.750 0.648
3 La 0.668 0.250 0.352
4 La 0.832 0.750 0.852
5 Al 0.040 0.750 0.400
6 Al 0.460 0.250 0.900
7 Al 0.540 0.750 0.100
8 Al 0.960 0.250 0.600
9 Pd 0.122 0.250 0.812
10 Pd 0.224 0.250 0.444
11 Pd 0.276 0.750 0.944
12 Pd 0.378 0.750 0.312
13 Pd 0.622 0.250 0.688
14 Pd 0.724 0.250 0.056
15 Pd 0.776 0.750 0.556
16 Pd 0.878 0.750 0.188

Results
calculated volume = 20.94 A^3/atom
energy = -90.3 eV/cell
magnetic moment = 0.00 μB/f.u.

---

# 10
## La2AlPd (GGA-PBE)

Data for crystalline La2AlPd at its relaxed geometry.

a = 6.227 Å, b = 6.227 Å, c = 6.227 Å
α = 43.57°, β = 43.57°, γ = 43.57°
Atoms (fractional coordinates):
1 La 0.000 0.000 0.000
2 La 0.205 0.205 0.205
3 Al 0.430 0.430 0.430
4 Pd 0.776 0.776 0.776

Results
calculated volume = 26.03 A^3/atom
energy = -20.9 eV/cell
magnetic moment = 0.00 μB/f.u.

---

# 11
## LaAlPd6 (GGA-PBE)

Data for crystalline LaAlPd6 at its relaxed geometry.

a = 5.527 Å, b = 5.527 Å, c = 5.527 Å
α = 75.98°, β = 75.98°, γ = 75.98°
Atoms (fractional coordinates):
1 La 0.000 0.000 0.000
2 Al 0.500 0.500 0.500
3 Pd 0.038 0.643 0.643
4 Pd 0.357 0.357 0.962
5 Pd 0.357 0.962 0.357
6 Pd 0.643 0.038 0.643
7 Pd 0.643 0.643 0.038
8 Pd 0.962 0.357 0.357

Results
calculated volume = 19.49 A^3/atom
energy = -43.0 eV/cell
magnetic moment = 0.00 μB/f.u.
relative energy among the computed polymorphs = 28.34 kJ/mol of atoms

---

# 12
## La3Al4Pd4 (GGA-PBE)

Data for crystalline La3Al4Pd4 at its relaxed geometry.

a = 6.802 Å, b = 6.802 Å, c = 6.802 Å
α = 109.47°, β = 109.47°, γ = 109.47°
Atoms (fractional coordinates):
1 La 0.000 0.500 0.500
2 La 0.500 0.000 0.500
3 La 0.500 0.500 0.000
4 Al 0.000 0.000 0.257
5 Al 0.000 0.257 0.000
6 Al 0.257 0.000 0.000
7 Al 0.743 0.743 0.743
8 Pd 0.000 0.000 0.619
9 Pd 0.000 0.619 0.000
10 Pd 0.381 0.381 0.381
11 Pd 0.619 0.000 0.000

Results
calculated volume = 22.02 A^3/atom
energy = -58.8 eV/cell
magnetic moment = 0.00 μB/f.u.
relative energy among the computed polymorphs = 9.53 kJ/mol of atoms